An optimized crystal structure of Sr2CaMg. Source: the Alexandria database, functional PBEsol.

Computed properties:
calculated volume = 163.6 Å³/cell
total energy = -0.1397 Ry per atom
calculated formation energy = -18 meV per atom

Cell and atoms, written as extended XYZ:
```
4
Lattice="-3.3495 1.7465 1.6927 -2.3688 -1.7000 -2.9333 -1.2532 -7.7208 5.4867" Properties=species:S:1:pos:R:3 pbc="T T T"
Sr -0.2670 -1.6452 1.1692
Sr -0.9861 -6.0755 4.3175
Ca -3.4858 -3.8371 2.1230
Mg -2.8592 0.0233 -0.6203
```